Compound: TbNiBO4
Source: Alexandria
Functional: PBE+U
Structure: relaxed

E_tot = -6.847 eV per atom

a = 5.7642 Å, b = 6.1554 Å, c = 8.0539 Å
α = 90.00°, β = 90.00°, γ = 90.00°
Space group Imma (No. 74)
Asymmetric unit:
Tb 0.0000 0.0000 0.0000
Ni 0.2500 0.2500 0.2500
B 0.0000 0.2500 0.6116
O 0.0000 0.0418 0.7235
O 0.2154 0.2500 0.5025